Sr2In4AgPt3 (PBE, relaxed); D(E_F) = 4.9 states/eV per cell; raw total energy = -0.3033 Ry per atom; spin magnetization = 0.0 μB/f.u.; SG = P-4m2 (115); formation enthalpy at 0 K = -0.598 eV/atom
1.0
4.784 0.000 0.000
0.000 4.784 0.000
0.000 0.000 10.691
Sr In Ag Pt
2 4 1 3
direct
0.500 0.000 0.258
0.000 0.500 0.742
0.500 0.500 0.000
0.000 0.000 0.000
0.500 0.000 0.626
0.000 0.500 0.374
0.500 0.500 0.500
0.000 0.000 0.500
0.500 0.000 0.874
0.000 0.500 0.126